(1)
{
  "formula": "Ba2Al4InGe3",
  "functional": "GGA-PBE",
  "state": "relaxed",
  "crystal_system": "tetragonal",
  "n_ef_per_ev_cell": 5.15,
  "ef_ev_per_atom": -0.28,
  "total_magnetization_mub_per_fu": 0.0,
  "final_energy_ev_per_atom": -3.823,
  "lattice_angstrom": [[4.865, 0.000, 0.000], [0.000, 4.865, 0.000], [0.000, 0.000, 10.347]],
  "species": ["Ba", "Ba", "Al", "Al", "Al", "Al", "In", "Ge", "Ge", "Ge"],
  "fractional_positions": [[0.000, 0.500, 0.249], [0.500, 0.000, 0.751], [0.000, 0.000, 0.000], [0.000, 0.500, 0.630], [0.500, 0.000, 0.370], [0.500, 0.500, 0.000], [0.000, 0.000, 0.500], [0.000, 0.500, 0.886], [0.500, 0.000, 0.114], [0.500, 0.500, 0.500]]
}

---

(2)
{
  "formula": "K2BaAlGe",
  "functional": "GGA-PBE",
  "state": "relaxed",
  "crystal_system": "tetragonal",
  "n_ef_per_ev_cell": 4.52,
  "ef_ev_per_atom": 0.39,
  "total_magnetization_mub_per_fu": 1.4,
  "final_energy_ev_per_atom": -2.106,
  "lattice_angstrom": [[6.429, 0.000, 0.000], [0.000, 6.429, 0.000], [0.000, 0.000, 6.235]],
  "species": ["K", "K", "Ba", "Al", "Ge"],
  "fractional_positions": [[0.000, 0.500, 0.000], [0.500, 0.000, 0.000], [0.000, 0.000, 0.500], [0.500, 0.500, 0.500], [0.000, 0.000, 0.000]]
}

---

(3)
{
  "formula": "KBaAl2Ge",
  "functional": "GGA-PBE",
  "state": "relaxed",
  "crystal_system": "tetragonal",
  "n_ef_per_ev_cell": 3.66,
  "ef_ev_per_atom": 1.29,
  "total_magnetization_mub_per_fu": 0.0,
  "final_energy_ev_per_atom": -1.731,
  "lattice_angstrom": [[5.916, 0.000, 0.000], [0.000, 5.916, 0.000], [0.000, 0.000, 6.270]],
  "species": ["K", "Ba", "Al", "Al", "Ge"],
  "fractional_positions": [[0.000, 0.000, 0.000], [0.000, 0.000, 0.500], [0.000, 0.500, 0.500], [0.500, 0.000, 0.500], [0.500, 0.500, 0.000]]
}

---

(4)
{
  "formula": "K2BaAlGe2",
  "functional": "GGA-PBE",
  "state": "relaxed",
  "crystal_system": "orthorhombic",
  "n_ef_per_ev_cell": 11.38,
  "ef_ev_per_atom": -0.16,
  "total_magnetization_mub_per_fu": 0.3,
  "final_energy_ev_per_atom": -3.009,
  "lattice_angstrom": [[4.724, 0.000, 0.000], [0.000, 9.672, 0.000], [0.000, 0.000, 8.353]],
  "species": ["K", "K", "K", "K", "Ba", "Ba", "Al", "Al", "Ge", "Ge", "Ge", "Ge"],
  "fractional_positions": [[0.000, 0.082, 0.000], [0.000, 0.918, 0.500], [0.500, 0.159, 0.337], [0.500, 0.841, 0.837], [0.500, 0.443, 0.009], [0.500, 0.557, 0.509], [0.000, 0.333, 0.657], [0.000, 0.667, 0.157], [0.000, 0.400, 0.302], [0.000, 0.600, 0.802], [0.500, 0.199, 0.719], [0.500, 0.801, 0.219]]
}

---

Repeat the third record exactly.
{
  "formula": "KBaAl2Ge",
  "functional": "GGA-PBE",
  "state": "relaxed",
  "crystal_system": "tetragonal",
  "n_ef_per_ev_cell": 3.66,
  "ef_ev_per_atom": 1.29,
  "total_magnetization_mub_per_fu": 0.0,
  "final_energy_ev_per_atom": -1.731,
  "lattice_angstrom": [[5.916, 0.000, 0.000], [0.000, 5.916, 0.000], [0.000, 0.000, 6.270]],
  "species": ["K", "Ba", "Al", "Al", "Ge"],
  "fractional_positions": [[0.000, 0.000, 0.000], [0.000, 0.000, 0.500], [0.000, 0.500, 0.500], [0.500, 0.000, 0.500], [0.500, 0.500, 0.000]]
}